## P
The following is a DFT calculation (PBE) of a relaxed structure of NpBePt.

a = 6.3470 Å, b = 6.3470 Å, c = 6.3470 Å
α = 90.00°, β = 90.00°, γ = 90.00°
Closest atoms and distances in Å follow each position.
Space group F-43m (No. 216)
Asymmetric unit:
Np 0.0000 0.0000 0.0000  4 Pt 2.75
Be 0.0000 0.0000 0.5000  4 Pt 2.75
Pt 0.2500 0.2500 0.7500  4 Be 2.75, 4 Np 2.75

Computed properties:
**Magnetization**: 16.473 μB/cell



## Q
The following is a DFT calculation (PBE) of a relaxed structure of NpBePt.

a = 6.0555 Å, b = 6.0555 Å, c = 6.0555 Å
α = 90.00°, β = 90.00°, γ = 90.00°
Closest atoms and distances in Å follow each position.
Space group F-43m (No. 216)
Asymmetric unit:
Np 0.0000 0.0000 0.0000  4 Be 2.62
Be 0.2500 0.2500 0.2500  4 Np 2.62, 4 Pt 2.62
Pt 0.0000 0.0000 0.5000  4 Be 2.62

Computed properties:
**Magnetization**: 16.022 μB/cell



Q (0.009 eV/atom below the next structure)



## P
The following is a DFT calculation (PBE) of a relaxed structure of NpTaBe.

a = 6.1642 Å, b = 6.1642 Å, c = 6.1642 Å
α = 90.00°, β = 90.00°, γ = 90.00°
Closest atoms and distances in Å follow each position.
Space group F-43m (No. 216)
Asymmetric unit:
Np 0.0000 0.0000 0.0000  4 Be 2.67, 4 Ta 2.67
Ta 0.2500 0.2500 0.2500  4 Np 2.67
Be 0.2500 0.2500 0.7500  4 Np 2.67

Computed properties:
**Magnetization**: 12.212 μB/cell



## Q
The following is a DFT calculation (PBE) of a relaxed structure of NpTaBe.

a = 6.0524 Å, b = 6.0524 Å, c = 6.0524 Å
α = 90.00°, β = 90.00°, γ = 90.00°
Closest atoms and distances in Å follow each position.
Space group F-43m (No. 216)
Asymmetric unit:
Np 0.0000 0.0000 0.0000  4 Be 2.62
Ta 0.0000 0.0000 0.5000  4 Be 2.62
Be 0.2500 0.2500 0.2500  4 Ta 2.62, 4 Np 2.62

Computed properties:
**Magnetization**: 14.478 μB/cell



Q (0.832 eV/atom below the next structure)



## P
The following is a DFT calculation (PBE) of a relaxed structure of Be2Os2O5.

a = 3.3654 Å, b = 3.3654 Å, c = 6.9811 Å
α = 90.00°, β = 90.00°, γ = 90.00°
Closest atoms and distances in Å follow each position.
Space group P4/mmm (No. 123)
Asymmetric unit:
Be 0.0000 0.0000 0.2479  5 O 1.75-1.76
Os 0.5000 0.5000 0.0000  8 O 2.09
Os 0.5000 0.5000 0.5000  4 O 2.38
O 0.0000 0.0000 0.5000  2 Be 1.76
O 0.0000 0.5000 0.1785  2 Be 1.75

Computed properties:
**Magnetization**: 3.308 μB/cell



## Q
The following is a DFT calculation (PBE) of a relaxed structure of Be2Os2O5.

a = 3.8577 Å, b = 3.8577 Å, c = 6.6018 Å
α = 90.00°, β = 90.00°, γ = 90.00°
Closest atoms and distances in Å follow each position.
Space group P4/mmm (No. 123)
Asymmetric unit:
Be 0.0000 0.0000 0.0000  8 O 2.32
Be 0.0000 0.0000 0.5000  12 O 2.73-2.79
Os 0.5000 0.5000 0.1799  5 O 1.93-2.11
O 0.0000 0.5000 0.1957  2 Os 1.93
O 0.5000 0.5000 0.5000  2 Os 2.11

Computed properties:
**Magnetization**: 0.038 μB/cell



P (0.563 eV/atom below the next structure)



## P
The following is a DFT calculation (PBE) of a relaxed structure of PaBePO.

a = 3.8514 Å, b = 3.8514 Å, c = 7.9001 Å
α = 90.00°, β = 90.00°, γ = 90.00°
Closest atoms and distances in Å follow each position.
Space group P4/nmm (No. 129, origin choice 2)
Asymmetric unit:
Pa 0.2500 0.2500 0.1773  4 O 2.38
Be 0.2500 0.7500 0.5000  4 P 2.23
P 0.2500 0.2500 0.6427  4 Be 2.23
O 0.2500 0.7500 0.0000  4 Pa 2.38

Computed properties:
**Magnetization**: 2.924 μB/cell



## Q
The following is a DFT calculation (PBE) of a relaxed structure of PaBePO.

a = 4.2251 Å, b = 5.8853 Å, c = 5.5539 Å
α = 90.00°, β = 90.00°, γ = 90.00°
Closest atoms and distances in Å follow each position.
Space group Pmc2_1 (No. 26)
Asymmetric unit:
Pa 0.0000 0.2351 0.0000  2 O 2.35
Be 0.5000 0.3820 0.6200  2 O 1.67-1.72
P 0.0000 0.2436 0.5043  2 Be 2.35
O 0.5000 0.3977 0.9290  2 Be 1.67-1.72

Computed properties:
**Magnetization**: 2.483 μB/cell



## R
The following is a DFT calculation (PBE) of a relaxed structure of PaBePO.

a = 3.9321 Å, b = 3.9321 Å, c = 9.1062 Å
α = 90.00°, β = 90.00°, γ = 90.00°
Closest atoms and distances in Å follow each position.
Space group P4/nmm (No. 129, origin choice 2)
Asymmetric unit:
Pa 0.2500 0.7500 0.0000  4 Pa 2.78, 4 P 2.79
Be 0.2500 0.2500 0.4867  4 O 1.97
P 0.2500 0.2500 0.2180  1 Be 2.45
O 0.2500 0.7500 0.5000  4 Be 1.97

Computed properties:
**Magnetization**: 0.005 μB/cell



## S
The following is a DFT calculation (PBE) of a relaxed structure of PaBePO.

a = 3.7689 Å, b = 4.0716 Å, c = 6.9776 Å
α = 90.00°, β = 90.00°, γ = 90.00°
Closest atoms and distances in Å follow each position.
Space group Pmc2_1 (No. 26)
Asymmetric unit:
Pa 0.0000 0.2504 0.0000  3 O 2.33-2.34
Be 0.5000 0.2479 0.3347  2 O 1.88
P 0.5000 0.2493 0.6680  3 Be 2.33-2.35
O 0.0000 0.2490 0.3338  2 Be 1.88

Computed properties:
**Magnetization**: 0.023 μB/cell



P (0.036 eV/atom below the next structure)



## P
The following is a DFT calculation (PBE) of a relaxed structure of BeRePO.

a = 4.1707 Å, b = 5.1159 Å, c = 4.5835 Å
α = 90.00°, β = 90.00°, γ = 90.00°
Closest atoms and distances in Å follow each position.
Space group Pmc2_1 (No. 26)
Asymmetric unit:
Be 0.0000 0.1474 0.0000  2 O 1.55-1.57
Re 0.5000 0.1933 0.3434  2 O 2.12, 1 P 2.36
P 0.5000 0.3462 0.8388  3 Re 2.36-2.44, 2 Be 2.43
O 0.0000 0.1234 0.3373  2 Be 1.55-1.57

Computed properties:
**Magnetization**: 0.001 μB/cell



## Q
The following is a DFT calculation (PBE) of a relaxed structure of BeRePO.

a = 3.5617 Å, b = 3.5617 Å, c = 8.8144 Å
α = 90.00°, β = 90.00°, γ = 90.00°
Closest atoms and distances in Å follow each position.
Space group P4/nmm (No. 129, origin choice 2)
Asymmetric unit:
Be 0.2500 0.2500 0.0138  4 O 1.78
Re 0.2500 0.7500 0.5000  4 P 2.46, 4 Re 2.52
P 0.2500 0.2500 0.3069  4 Re 2.46, 1 Be 2.58
O 0.2500 0.7500 0.0000  4 Be 1.78

Computed properties:
**Magnetization**: 0.003 μB/cell



## R
The following is a DFT calculation (PBE) of a relaxed structure of BeRePO.

a = 3.3123 Å, b = 3.3123 Å, c = 7.9110 Å
α = 90.00°, β = 90.00°, γ = 90.00°
Closest atoms and distances in Å follow each position.
Space group P4/nmm (No. 129, origin choice 2)
Asymmetric unit:
Be 0.2500 0.7500 0.0000  4 P 2.23, 4 Be 2.34
Re 0.2500 0.2500 0.3253  4 O 2.16
P 0.2500 0.2500 0.8114  4 Be 2.23
O 0.2500 0.7500 0.5000  4 Re 2.16, 4 O 2.34

Computed properties:
**Magnetization**: 0.022 μB/cell



## S
The following is a DFT calculation (PBE) of a relaxed structure of BeRePO.

a = 2.8747 Å, b = 5.7402 Å, c = 5.8221 Å
α = 90.00°, β = 90.00°, γ = 90.00°
Closest atoms and distances in Å follow each position.
Space group Pmc2_1 (No. 26)
Asymmetric unit:
Be 0.0000 0.1060 0.0000  2 O 1.58
Re 0.5000 0.4996 0.2484  2 O 2.17-2.18
P 0.0000 0.2693 0.4988  1 Be 2.15
O 0.5000 0.2183 0.9982  2 Be 1.58

Computed properties:
**Magnetization**: 0.004 μB/cell



S (0.009 eV/atom below the next structure)



## P
The following is a DFT calculation (PBE) of a relaxed structure of TaBePO.

a = 3.7579 Å, b = 3.7579 Å, c = 8.6451 Å
α = 90.00°, β = 90.00°, γ = 90.00°
Closest atoms and distances in Å follow each position.
Space group P4/nmm (No. 129, origin choice 2)
Asymmetric unit:
Ta 0.2500 0.7500 0.0000  4 P 2.48, 4 Ta 2.66
Be 0.2500 0.2500 0.4906  4 O 1.88
P 0.2500 0.2500 0.1872  4 Ta 2.48, 1 Be 2.62
O 0.2500 0.7500 0.5000  4 Be 1.88

Computed properties:
**Magnetization**: 0.001 μB/cell



## Q
The following is a DFT calculation (PBE) of a relaxed structure of TaBePO.

a = 3.6027 Å, b = 6.0048 Å, c = 4.8620 Å
α = 90.00°, β = 90.00°, γ = 90.00°
Closest atoms and distances in Å follow each position.
Space group Pmc2_1 (No. 26)
Asymmetric unit:
Ta 0.0000 0.1562 0.0000  2 O 2.12
Be 0.5000 0.4172 0.6592  2 O 1.66-1.67
P 0.0000 0.2525 0.4960  2 Be 2.20, 1 Ta 2.45
O 0.5000 0.3422 0.9878  2 Be 1.66-1.67

Computed properties:
**Magnetization**: 0.001 μB/cell



## R
The following is a DFT calculation (PBE) of a relaxed structure of TaBePO.

a = 3.3772 Å, b = 3.3772 Å, c = 7.9971 Å
α = 90.00°, β = 90.00°, γ = 90.00°
Closest atoms and distances in Å follow each position.
Space group P4/nmm (No. 129, origin choice 2)
Asymmetric unit:
Ta 0.2500 0.2500 0.1677  4 O 2.16
Be 0.2500 0.7500 0.5000  4 P 2.26, 4 Be 2.39
P 0.2500 0.2500 0.6881  4 Be 2.26
O 0.2500 0.7500 0.0000  4 Ta 2.16, 4 O 2.39

Computed properties:
**Magnetization**: 0.001 μB/cell



## S
The following is a DFT calculation (PBE) of a relaxed structure of TaBePO.

a = 2.9392 Å, b = 6.0547 Å, c = 5.7065 Å
α = 90.00°, β = 90.00°, γ = 90.00°
Closest atoms and distances in Å follow each position.
Space group Pmc2_1 (No. 26)
Asymmetric unit:
Ta 0.0000 0.0005 0.0000  2 O 2.22-2.23
Be 0.5000 0.3878 0.2708  2 O 1.61
P 0.5000 0.2570 0.7503  1 Be 2.15
O 0.0000 0.2824 0.2514  2 Be 1.61

Computed properties:
**Magnetization**: 0.000 μB/cell



S (0.094 eV/atom below the next structure)